1.
La4PmMg2, relaxed, DFT PBE; DOS at the Fermi energy = 9.2 states/eV per cell; electronic total energy = -3.961 eV/atom; total magnetic moment = 0.00 μB per cell; space group = No. 166
1.0
-2.2744 2.8065 4.3946
-3.1926 -2.7764 3.8027
5.0536 -1.6076 7.3241
La Pm Mg
4 1 2
Direct
0.8433 0.8433 0.4701
0.1567 0.1567 0.5299
0.5749 0.5749 0.2753
0.4251 0.4251 0.7247
0.0000 0.0000 0.0000
0.7095 0.7095 0.8714
0.2905 0.2905 0.1286

2.
LaPm5Mg2, relaxed, DFT PBE; DOS at the Fermi energy = 10.6 states/eV per cell; electronic total energy = -3.953 eV/atom; total magnetic moment = 0.00 μB per cell; space group = No. 107
1.0
0.1060 4.6867 -5.0915
4.3466 -5.2924 -1.0010
-6.4058 -2.6066 0.2815
La Pm Mg
1 5 2
Direct
0.7788 0.7785 0.0000
0.2778 0.2780 0.5001
0.2780 0.7777 0.0000
0.7779 0.2778 0.0000
0.7777 0.7780 0.4999
0.2773 0.2770 0.0000
0.2777 0.7780 0.5000
0.7778 0.2780 0.5000

3.
La4Pm3Mg, relaxed, DFT PBE; DOS at the Fermi energy = 21.0 states/eV per cell; electronic total energy = -4.442 eV/atom; total magnetic moment = 0.00 μB per cell; space group = No. 31
1.0
7.1873 0.0000 0.0000
0.0000 7.2626 0.0000
0.0000 0.0000 10.4459
Mg Pm La
2 6 8
Direct
0.4999 0.8111 0.0000
0.5001 0.3111 0.5000
0.9996 0.3102 0.0000
0.2559 0.0606 0.7498
0.7441 0.5606 0.7502
0.0004 0.8102 0.5000
0.7441 0.5606 0.2498
0.2559 0.0606 0.2502
0.9993 0.8113 0.0000
0.5002 0.3097 0.0000
0.7475 0.0606 0.7489
0.2525 0.5606 0.7511
0.4998 0.8097 0.5000
0.0007 0.3113 0.5000
0.2525 0.5606 0.2489
0.7475 0.0606 0.2511

4.
La3PmMg4, relaxed, DFT PBE; DOS at the Fermi energy = 10.5 states/eV per cell; electronic total energy = -3.349 eV/atom; total magnetic moment = 0.00 μB per cell; space group = No. 123
1.0
-1.7643 -3.4733 -0.5851
-0.5723 -0.3630 3.8807
-13.9236 7.3037 -1.3702
Mg Pm La
4 1 3
Direct
0.0000 0.0000 0.8818
0.0000 0.0000 0.1182
0.0000 0.0000 0.3732
0.0000 0.0000 0.6268
0.5000 0.5000 0.0000
0.5000 0.5000 0.2460
0.5000 0.5000 0.5000
0.5000 0.5000 0.7540

- Among the records above, which one has the lowest electronic total energy?
  La4Pm3Mg

- What is the DOS at the Fermi energy in the second record?
  10.6 states/eV per cell

- Look up the electronic total energy of the first one.
  -3.961 eV/atom